Record 1
CuAg2Pd (PBE, optimized geometry); Fermi-level density of states = 3.25 states/eV/f.u.; theoretical density = 10.06 g/cm³; symmetry = R3m (160); DFT formation energy = 58 meV/atom
1.0
1.420 0.820 9.106
-1.420 0.820 9.106
0.000 -1.640 9.106
Cu Ag Pd
1 2 1
Direct
0.000 0.000 0.000
0.253 0.253 0.253
0.414 0.414 0.414
0.833 0.833 0.833



Record 2
Sr2CS (PBE, optimized geometry); ΔE_f (raw) = -0.77 eV per formula unit; Fermi-level density of states = 0.37 states/eV/f.u.; theoretical density = 3.25 g/cm³; symmetry = I-42d (122)
1.0
-3.645 3.645 4.218
3.645 -3.645 4.218
3.645 3.645 -4.218
Sr C S
4 2 2
Direct
0.099 0.625 0.974
0.375 0.349 0.474
0.651 0.125 0.026
0.875 0.901 0.526
0.000 0.000 0.000
0.750 0.250 0.500
0.250 0.750 0.500
0.500 0.500 0.000



Record 3
Tb4Y4Th (PBE, optimized geometry); Fermi-level density of states = 14.30 states/eV/f.u.; theoretical density = 7.00 g/cm³; symmetry = I4/mmm (139); DFT formation energy = 29 meV/atom
1.0
-5.353 5.353 2.531
5.353 -5.353 2.531
5.353 5.353 -2.531
Tb Y Th
4 4 1
Direct
0.163 0.163 0.327
0.163 0.837 0.000
0.837 0.163 0.000
0.837 0.837 0.673
0.169 0.500 0.669
0.500 0.169 0.669
0.500 0.831 0.331
0.831 0.500 0.331
0.500 0.500 0.000



Record 4
Pr8Te4HIr3 (PBE, optimized geometry); Fermi-level density of states = 9.21 states/eV/f.u.; theoretical density = 7.80 g/cm³; symmetry = R-3m (166); total DFT energy (no corrections) = -96.1 eV for the cell shown
1.0
4.242 2.449 7.567
-4.242 2.449 7.567
0.000 -4.898 7.567
Pr Te H Ir
8 4 1 3
Direct
0.228 0.742 0.742
0.237 0.237 0.237
0.258 0.258 0.772
0.258 0.772 0.258
0.742 0.228 0.742
0.742 0.742 0.228
0.763 0.763 0.763
0.772 0.258 0.258
0.000 0.000 0.000
0.000 0.500 0.500
0.500 0.000 0.500
0.500 0.500 0.000
0.500 0.500 0.500
0.000 0.000 0.500
0.000 0.500 0.000
0.500 0.000 0.000